[1]
LaGeH2 after structural relaxation. Source: Alexandria, functional PBE.

- ΔE to the lowest computed polymorph (eV per formula unit) = 0.558
- space-group type = I-42d
- mass density (g/cm³) = 5.51
- M_tot (μB per cell) = 0.00
- total energy (eV/atom) = -4.180
- calculated volume (Å³/f.u.) = 64.31

a b c (Å): 4.4606 4.4606 7.1929
angles (deg): 71.94 71.94 90.00
Sites, in units of the cell vectors:
H (0.5797, 0.1250, 0.2500)
H (0.1703, 0.6250, 0.2500)
H (0.3750, 0.4203, 0.7500)
H (0.8750, 0.8297, 0.7500)
Ge (0.5000, 0.5000, 0.0000)
Ge (0.2500, 0.7500, 0.5000)
La (0.0000, 0.0000, 0.0000)
La (0.7500, 0.2500, 0.5000)

[2]
La4GeH after structural relaxation. Source: Alexandria, functional PBE.

- space-group type = P-1
- mass density (g/cm³) = 6.07
- M_tot (μB per cell) = 0.00
- total energy (eV/atom) = -4.956
- calculated volume (Å³/f.u.) = 172.22

a b c (Å): 7.3117 7.3833 7.3545
angles (deg): 105.28 114.51 91.36
Sites, in units of the cell vectors:
La (0.4895, 0.0080, 0.7951)
La (0.6659, 0.4620, 0.2155)
La (0.5105, 0.9920, 0.2049)
La (0.3341, 0.5380, 0.7845)
La (0.9627, 0.8370, 0.7156)
La (0.2170, 0.6517, 0.2576)
La (0.0373, 0.1630, 0.2844)
La (0.7830, 0.3483, 0.7424)
Ge (0.7943, 0.7584, 0.0348)
Ge (0.2057, 0.2416, 0.9652)
H (0.5000, 0.0000, 0.5000)
H (0.0000, 0.5000, 0.5000)

Which formula does entry 2 have? La4GeH

Which of these has the highest total energy? LaGeH2

Number 2 is which compound? La4GeH

Repeat the first record exactly.
LaGeH2 after structural relaxation. Source: Alexandria, functional PBE.

- ΔE to the lowest computed polymorph (eV per formula unit) = 0.558
- space-group type = I-42d
- mass density (g/cm³) = 5.51
- M_tot (μB per cell) = 0.00
- total energy (eV/atom) = -4.180
- calculated volume (Å³/f.u.) = 64.31

a b c (Å): 4.4606 4.4606 7.1929
angles (deg): 71.94 71.94 90.00
Sites, in units of the cell vectors:
H (0.5797, 0.1250, 0.2500)
H (0.1703, 0.6250, 0.2500)
H (0.3750, 0.4203, 0.7500)
H (0.8750, 0.8297, 0.7500)
Ge (0.5000, 0.5000, 0.0000)
Ge (0.2500, 0.7500, 0.5000)
La (0.0000, 0.0000, 0.0000)
La (0.7500, 0.2500, 0.5000)